{
  "formula": "RbReAuSe3",
  "functional": "GGA-PBE",
  "state": "optimized geometry",
  "crystal_system": "orthorhombic",
  "mass_density_g_cm3": 7.6,
  "total_energy_ev_per_atom": -4.651,
  "cell": [[1.916, -7.907, 0.000], [1.916, 7.907, 0.000], [0.000, 0.000, 10.204]],
  "species": ["Rb", "Rb", "Re", "Re", "Au", "Au", "Se", "Se", "Se", "Se", "Se", "Se"],
  "frac_coords": [[0.248, 0.752, 0.750], [0.752, 0.248, 0.250], [0.000, 0.000, 0.000], [0.000, 0.000, 0.500], [0.437, 0.563, 0.250], [0.563, 0.437, 0.750], [0.060, 0.940, 0.250], [0.389, 0.611, 0.017], [0.389, 0.611, 0.483], [0.611, 0.389, 0.517], [0.611, 0.389, 0.983], [0.940, 0.060, 0.750]]
}